Sr5Hg2Ge2 after structural relaxation, computed with PBE.

Computed properties:
Calculated formation energy in eV per formula unit: -4.572

a b c (Å): 9.704 9.704 8.314
angles (deg): 90.00 90.00 50.72
Element x y z (fractional)
Sr  0.000  0.000  0.000
Sr  0.045  0.694  0.674
Sr  0.194  0.545  0.174
Sr  0.306  0.955  0.674
Sr  0.455  0.806  0.174
Sr  0.500  0.500  0.500
Sr  0.545  0.194  0.826
Sr  0.694  0.045  0.326
Sr  0.806  0.455  0.826
Sr  0.955  0.306  0.326
Hg  0.209  0.209  0.000
Hg  0.291  0.291  0.500
Hg  0.709  0.709  0.500
Hg  0.791  0.791  0.000
Ge  0.113  0.887  0.388
Ge  0.387  0.613  0.888
Ge  0.613  0.387  0.112
Ge  0.887  0.113  0.612



Ce6P5F after structural relaxation, computed with PBE.

Computed properties:
E_form (uncorrected) in eV per atom: -1.666

a b c (Å): 6.998 6.998 7.003
angles (deg): 99.61 99.61 119.98
Element x y z (fractional)
Ce  0.083  0.415  0.749
Ce  0.249  0.249  0.249
Ce  0.415  0.083  0.749
Ce  0.585  0.917  0.251
Ce  0.751  0.751  0.751
Ce  0.917  0.585  0.251
P  0.169  0.831  0.000
P  0.334  0.666  0.500
P  0.500  0.500  0.000
P  0.666  0.334  0.500
P  0.831  0.169  0.000
F  0.000  0.000  0.500



CaAs2Ir after structural relaxation, computed with PBE.

Computed properties:
Calculated formation energy in eV per formula unit: -0.145

a b c (Å): 3.463 3.463 24.724
angles (deg): 90.00 90.00 120.00
Element x y z (fractional)
Ca  0.000  0.000  0.000
Ca  0.333  0.667  0.667
Ca  0.667  0.333  0.333
As  0.000  0.000  0.240
As  0.000  0.000  0.484
As  0.333  0.667  0.151
As  0.333  0.667  0.907
As  0.667  0.333  0.573
As  0.667  0.333  0.817
Ir  0.000  0.000  0.761
Ir  0.333  0.667  0.428
Ir  0.667  0.333  0.095



Ce2SnRu after structural relaxation, computed with PBE.

Computed properties:
Energy relative to the lowest polymorph listed for this composition in eV/atom: 0.000
Calculated formation energy in eV per formula unit: -1.955

a b c (Å): 6.667 5.101 11.204
angles (deg): 90.00 90.00 90.00
Element x y z (fractional)
Ce  0.012  0.250  0.169
Ce  0.247  0.750  0.380
Ce  0.253  0.250  0.880
Ce  0.488  0.750  0.669
Ce  0.512  0.250  0.331
Ce  0.747  0.750  0.120
Ce  0.753  0.250  0.620
Ce  0.988  0.750  0.831
Sn  0.235  0.250  0.577
Sn  0.265  0.750  0.077
Sn  0.735  0.250  0.923
Sn  0.765  0.750  0.423
Ru  0.031  0.750  0.628
Ru  0.469  0.250  0.128
Ru  0.531  0.750  0.872
Ru  0.969  0.250  0.372



no.,energy (eV per atom),calculated volume (Å³ per atom)
1,-2.535,33.67
2,-7.043,23.33
3,-5.077,21.39
4,-6.775,23.81